(1)
Entry from Alexandria via LeMat-Bulk: an optimized crystal structure of MnTlGa2Cl8 (PBE).

```
12
Lattice="6.428 0.000 0.000 3.214 5.567 0.000 3.214 1.856 9.353" Properties=species:S:1:pos:R:3 pbc="T T T"
Mn 0.000 0.000 0.000
Tl 6.428 3.711 4.676
Ga 3.214 1.856 2.169
Ga 9.642 5.567 7.184
Cl 3.214 1.856 4.414
Cl 5.408 1.791 1.500
Cl 9.642 5.567 4.939
Cl 8.601 3.788 1.500
Cl 4.255 3.635 7.853
Cl 5.275 5.555 1.500
Cl 7.581 1.868 7.853
Cl 7.448 5.631 7.853
```

space group = R-3, No. 148
total magnetization = 4.09 μB/cell
formation energy without anion corrections = -11.589 eV/f.u.

(2)
Entry from Alexandria via LeMat-Bulk: an optimized crystal structure of Na3Pm (PBE).

```
8
Lattice="-7.228 0.511 -1.480 2.600 -5.802 3.778 -0.830 2.925 5.063" Properties=species:S:1:pos:R:3 pbc="T T T"
Na -2.878 -3.770 3.429
Na -0.542 -1.101 2.269
Na -6.227 1.662 3.186
Na -2.580 1.404 3.933
Na -4.916 -1.265 5.092
Na 0.769 -4.028 4.175
Pm -4.160 -0.862 1.539
Pm -1.298 -1.504 5.823
```

space group = P6_3/mmc, No. 194
formation enthalpy at 0 K = 0.33 eV per atom
total magnetization = 0.00 μB/cell

(3)
Entry from Alexandria via LeMat-Bulk: an optimized crystal structure of TbSmCdAg (PBE).

```
4
Lattice="-3.292 -1.315 1.131 1.201 -3.478 -0.550 2.530 -0.246 7.074" Properties=species:S:1:pos:R:3 pbc="T T T"
Tb 0.467 -2.544 4.519
Sm -0.758 -2.425 1.094
Cd 2.150 -0.209 6.013
Ag 0.928 -0.090 2.594
```

space group = P4mm, No. 99
formation enthalpy at 0 K = -0.30 eV per atom
relative energy among the computed polymorphs = 0 meV/atom
total magnetization = 0.06 μB/cell

(4)
Entry from Alexandria via LeMat-Bulk: an optimized crystal structure of PrDy4PbS8 (PBE).

```
14
Lattice="8.137 0.000 0.000 4.069 7.047 0.000 4.069 2.349 6.818" Properties=species:S:1:pos:R:3 pbc="T T T"
Pr 4.069 2.349 6.777
Dy 8.137 4.698 0.830
Dy 4.069 4.666 3.424
Dy 6.075 1.190 3.424
Dy 2.062 1.190 3.424
Pb 8.137 4.698 6.008
S 8.137 7.244 4.943
S 10.342 3.425 4.943
S 5.932 3.425 4.943
S 4.069 2.349 2.021
S 8.137 2.250 1.816
S 6.017 5.922 1.816
S 10.257 5.922 1.816
S 12.206 7.047 4.953
```

space group = R3m, No. 160
total magnetization = 0.00 μB/cell
formation energy without anion corrections = -24.610 eV/f.u.

(5)
Entry from Alexandria via LeMat-Bulk: an optimized crystal structure of InSn2Hg6 (PBE).

```
18
Lattice="-1.131 -6.905 2.906 7.161 2.244 1.050 -2.745 4.074 7.819" Properties=species:S:1:pos:R:3 pbc="T T T"
In 6.328 3.102 3.037
In -3.044 -3.688 8.738
Sn 0.382 -2.282 2.861
Sn 1.826 -3.045 5.553
Sn 2.902 1.695 8.913
Sn 1.458 2.458 6.222
Hg 0.751 0.073 4.632
Hg 3.724 -2.897 3.274
Hg 2.533 -0.659 7.142
Hg -0.440 2.310 8.501
Hg 0.355 -1.370 9.361
Hg -1.312 -0.345 6.965
Hg 2.929 0.783 2.414
Hg 4.597 -0.241 4.809
Hg 3.113 4.716 9.029
Hg 4.350 2.860 5.412
Hg 0.171 -5.303 2.746
Hg -1.066 -3.447 6.362
```

space group = C2/c, No. 15
formation enthalpy at 0 K = 0.04 eV per atom
total magnetization = 0.00 μB/cell

(6)
Entry from Alexandria via LeMat-Bulk: an optimized crystal structure of TmAl2Zn (PBE).

```
4
Lattice="4.231 0.000 0.000 0.000 4.206 0.000 0.000 0.000 4.206" Properties=species:S:1:pos:R:3 pbc="T T T"
Zn 2.115 0.000 0.000
Tm 2.115 2.103 2.103
Al 0.000 0.000 2.103
Al 0.000 2.103 0.000
```

space group = P4/mmm, No. 123
formation enthalpy at 0 K = -0.36 eV per atom
total magnetization = 0.00 μB/cell

(7)
Entry from Alexandria via LeMat-Bulk: an optimized crystal structure of TiNb2ReH (PBE).

```
5
Lattice="3.894 0.000 0.000 0.000 3.894 0.000 0.000 0.000 4.656" Properties=species:S:1:pos:R:3 pbc="T T T"
Re 1.947 1.947 2.328
Nb 0.000 1.947 0.000
Nb 1.947 0.000 0.000
H 0.000 0.000 0.000
Ti 0.000 0.000 2.328
```

total energy = -8.794 eV per atom
space group = P4/mmm, No. 123
total magnetization = 0.00 μB/cell

(8)
Entry from Alexandria via LeMat-Bulk: an optimized crystal structure of Tb2PmErTl4 (PBE).

```
8
Lattice="5.396 0.000 0.000 2.698 4.673 0.000 2.698 1.558 8.841" Properties=species:S:1:pos:R:3 pbc="T T T"
Tb 8.095 4.673 6.611
Tb 2.698 1.558 2.230
Pm 0.000 0.000 0.000
Er 5.396 3.116 4.421
Tl 5.396 3.116 7.698
Tl 8.095 4.673 3.350
Tl 2.698 1.558 5.491
Tl 5.396 3.116 1.143
```

space group = R-3m, No. 166
formation enthalpy at 0 K = -0.35 eV per atom
total magnetization = 0.00 μB/cell

(9)
Entry from Alexandria via LeMat-Bulk: an optimized crystal structure of Al4GaTc (PBE).

```
12
Lattice="4.992 0.000 0.754 0.000 5.234 0.000 1.339 0.000 7.418" Properties=species:S:1:pos:R:3 pbc="T T T"
Al 0.636 3.926 0.275
Al 5.695 1.309 7.897
Al 4.663 3.926 5.764
Al 1.669 1.309 2.408
Al 2.219 0.020 5.087
Al 4.112 2.637 3.085
Al 2.219 2.597 5.087
Al 4.112 5.214 3.085
Ga 3.067 3.926 0.979
Ga 3.264 1.309 7.192
Tc 1.447 3.926 3.009
Tc 4.885 1.309 5.163
```

space group = P2_1/m, No. 11
formation enthalpy at 0 K = -0.21 eV per atom
relative energy among the computed polymorphs = 0 meV/atom
total magnetization = 0.00 μB/cell

(10)
Entry from Alexandria via LeMat-Bulk: an optimized crystal structure of Hf8Co2N (PBE).

```
11
Lattice="-1.418 3.778 1.732 -3.112 -2.846 3.659 8.976 -0.247 2.323" Properties=species:S:1:pos:R:3 pbc="T T T"
Hf 4.921 -0.409 4.922
Hf -0.724 -0.295 5.618
Hf 2.141 0.989 5.164
Hf 6.251 2.891 4.381
Hf 2.305 -0.304 2.550
Hf 5.171 0.980 2.096
Hf -0.474 1.094 2.793
Hf -1.805 -2.206 3.334
Co 3.963 2.207 3.999
Co 0.484 -1.522 3.716
N -0.709 1.889 0.866
```

space group = C2/m, No. 12
total magnetization = 0.00 μB/cell
formation energy without anion corrections = -2.745 eV/f.u.

(11)
Entry from Alexandria via LeMat-Bulk: an optimized crystal structure of TlSi2Ag (PBE).

```
4
Lattice="5.325 -0.031 0.028 1.370 5.146 -0.028 -2.638 -3.486 3.041" Properties=species:S:1:pos:R:3 pbc="T T T"
Ag 0.837 1.953 1.506
Si 6.519 4.980 0.000
Si 3.316 -0.252 1.534
Tl 3.427 2.618 0.000
```

space group = Imm2, No. 44
relative energy among the computed polymorphs = 206 meV/atom
total magnetization = 0.00 μB/cell
formation energy without anion corrections = 1.883 eV/f.u.

(12)
Entry from Alexandria via LeMat-Bulk: an optimized crystal structure of Ba2ZrPdCl (PBE).

```
5
Lattice="6.358 0.000 0.000 0.000 4.712 0.000 0.000 0.000 6.358" Properties=species:S:1:pos:R:3 pbc="T T T"
Zr 3.179 2.356 3.179
Ba 0.000 0.000 3.179
Ba 3.179 0.000 0.000
Pd 0.000 0.000 0.000
Cl 0.000 2.356 0.000
```

space group = P4/mmm, No. 123
total magnetization = 4.35 μB/cell
formation energy without anion corrections = 0.929 eV/f.u.

(13)
Entry from Alexandria via LeMat-Bulk: an optimized crystal structure of CdGa5Hg2 (PBE).

```
16
Lattice="4.441 0.000 0.000 0.000 6.047 0.000 0.000 0.000 12.589" Properties=species:S:1:pos:R:3 pbc="T T T"
Cd 0.000 0.000 6.294
Cd 0.000 3.024 0.000
Ga 0.000 0.000 0.000
Ga 0.000 3.024 6.294
Ga 0.000 2.908 9.395
Ga 0.000 3.139 3.194
Ga 0.000 0.115 3.101
Ga 0.000 5.932 9.488
Ga 2.221 1.312 11.092
Ga 2.221 4.735 1.497
Ga 2.221 1.711 4.797
Ga 2.221 4.336 7.792
Hg 2.221 1.348 7.976
Hg 2.221 4.700 4.613
Hg 2.221 1.676 1.682
Hg 2.221 4.371 10.907
```

space group = Pbam, No. 55
formation enthalpy at 0 K = 0.07 eV per atom
total magnetization = 0.00 μB/cell

(14)
Entry from Alexandria via LeMat-Bulk: an optimized crystal structure of Zr2CrSb (PBE).

```
4
Lattice="-3.284 -1.241 -0.710 -0.471 -0.748 3.485 -2.779 4.844 4.385" Properties=species:S:1:pos:R:3 pbc="T T T"
Cr -2.454 0.404 1.612
Sb -4.079 2.452 5.547
Zr -0.500 -0.675 3.492
Zr -1.596 1.975 3.927
```

space group = P2/m, No. 10
total magnetization = 0.00 μB/cell
formation energy without anion corrections = -0.591 eV/f.u.

(15)
Entry from Alexandria via LeMat-Bulk: an optimized crystal structure of Tc4PbBr (PBE).

```
6
Lattice="0.000 3.779 3.779 3.779 0.000 3.779 3.779 3.779 0.000" Properties=species:S:1:pos:R:3 pbc="T T T"
Tc 2.840 4.718 4.718
Tc 4.718 4.718 2.840
Tc 4.718 2.840 4.718
Tc 2.840 2.840 2.840
Pb 0.000 0.000 0.000
Br 5.668 5.668 5.668
```

space group = F-43m, No. 216
total magnetization = 0.00 μB/cell
formation energy without anion corrections = 5.903 eV/f.u.

(16)
Entry from Alexandria via LeMat-Bulk: an optimized crystal structure of FeRe2Te (PBE).

```
4
Lattice="-0.727 2.417 -1.769 -2.869 -1.086 -0.305 -1.875 3.423 5.448" Properties=species:S:1:pos:R:3 pbc="T T T"
Fe -3.225 3.273 3.112
Re -1.866 3.409 5.424
Re -2.211 1.420 0.164
Te -0.979 1.788 2.846
```

space group = P4mm, No. 99
total magnetization = 2.00 μB/cell
formation energy without anion corrections = 1.782 eV/f.u.

(17)
Entry from Alexandria via LeMat-Bulk: an optimized crystal structure of AcMg2CdAg4 (PBE).

```
8
Lattice="-3.693 0.863 2.826 -3.287 -3.332 0.681 2.580 -4.146 8.597" Properties=species:S:1:pos:R:3 pbc="T T T"
Ac 0.000 0.000 0.000
Mg -3.512 -4.817 8.755
Mg -0.887 -1.798 3.347
Cd -2.199 -3.307 6.051
Ag -0.744 -4.293 8.254
Ag -5.120 -3.728 6.321
Ag 0.721 -2.887 5.782
Ag -3.654 -2.322 3.849
```

space group = R-3m, No. 166
formation enthalpy at 0 K = -0.18 eV per atom
total magnetization = 0.00 μB/cell